VASP calculation (PBE) on crystalline SrPt4Au at its relaxed geometry.

Output
Its formation energy from the elements is -442 meV/atom.

Geometry as CIF:
```
data_SrPt4Au
_chemical_formula_sum 'Sr4 Pt16 Au4'
_symmetry_space_group_name_H-M 'F -4 3 m'
_symmetry_Int_Tables_number 216
_symmetry_space_group_name_Hall 'F -4 2 3'
_cell_length_a 7.6829
_cell_length_b 7.6829
_cell_length_c 7.6829
_cell_angle_alpha 90.00
_cell_angle_beta 90.00
_cell_angle_gamma 90.00
loop_
_atom_site_label
_atom_site_type_symbol
_atom_site_fract_x
_atom_site_fract_y
_atom_site_fract_z
Sr1 Sr 0.0000 0.0000 0.0000
Pt1 Pt 0.1247 0.1247 0.3753
Au1 Au 0.2500 0.2500 0.7500
```